The following is a PBE calculation of an optimized crystal structure of CaDy3Y6Ho2, from Alexandria.

Summary:
Energy of formation from the pure elements (eV/atom): 0.0561

CIF file:
```
data_CaDy3Y6Ho2
_symmetry_space_group_name_H-M 'C 1 2/m 1'
_symmetry_Int_Tables_number 12
_symmetry_space_group_name_Hall '-C 2y'
_cell_length_a 6.202
_cell_length_b 10.737
_cell_length_c 11.853
_cell_angle_alpha 90.00
_cell_angle_beta 100.02
_cell_angle_gamma 90.00
loop_
_atom_site_label
_atom_site_type_symbol
_atom_site_fract_x
_atom_site_fract_y
_atom_site_fract_z
Ca1 Ca 0.000 0.000 0.000
Dy1 Dy 0.000 0.166 0.500
Dy2 Dy 0.000 0.500 0.500
Y1 Y 0.246 0.330 0.747
Y2 Y 0.246 0.500 0.253
Ho1 Ho 0.000 0.333 0.000
```

The following is a PBE calculation of an optimized crystal structure of Ac2ErAu, from Alexandria.

Summary:
Energy relative to the lowest polymorph listed for this composition (eV/f.u.): 1.97
Energy of formation from the pure elements (eV/atom): 0.1724

CIF file:
```
data_Ac2ErAu
_symmetry_space_group_name_H-M 'R -3 m'
_symmetry_Int_Tables_number 166
_symmetry_space_group_name_Hall '-R 3 2"'
_cell_length_a 3.8240
_cell_length_b 3.8240
_cell_length_c 35.8788
_cell_angle_alpha 90.00
_cell_angle_beta 90.00
_cell_angle_gamma 120.00
loop_
_atom_site_label
_atom_site_type_symbol
_atom_site_fract_x
_atom_site_fract_y
_atom_site_fract_z
Ac1 Ac 0.0000 0.0000 0.0833
Er1 Er 0.0000 0.0000 0.5000
Au1 Au 0.0000 0.0000 0.0000
```

The following is a PBE calculation of an optimized crystal structure of VCoS2, from Alexandria.

Summary:
E (eV/atom): -6.655

CIF file:
```
data_VCoS2
_symmetry_space_group_name_H-M 'I -4 2 d'
_symmetry_Int_Tables_number 122
_symmetry_space_group_name_Hall 'I -4 2bw'
_cell_length_a 5.200
_cell_length_b 5.200
_cell_length_c 10.398
_cell_angle_alpha 90.00
_cell_angle_beta 90.00
_cell_angle_gamma 90.00
loop_
_atom_site_label
_atom_site_type_symbol
_atom_site_fract_x
_atom_site_fract_y
_atom_site_fract_z
V1 V 0.000 0.000 0.000
Co1 Co 0.000 0.000 0.500
S1 S 0.238 0.250 0.625
```